# 1
First-principles (GGA-PBEsol) data for LiTeIN2 after structural relaxation, as listed in the Alexandria database.

Computed properties:
Density ... 5.0 g/cm³
Total DFT energy (no corrections) ... -16.08 eV for the cell shown
Formation energy without anion corrections ... 8.234 eV/f.u.
Energy relative to the lowest polymorph listed for this composition ... 39 meV/atom

Lattice parameters (Å, degrees): 4.329 4.329 5.126 90.00 90.00 90.00
Last column: magnetic moment on the atom in μB.
Atoms (fractional coordinates):
N: 0.000 0.500 0.000  1.38
N: 0.500 0.000 0.000  1.38
Li: 0.000 0.000 0.000  0.00
I: 0.000 0.000 0.500  0.10
Te: 0.500 0.500 0.500  -0.06

***

# 2
First-principles (GGA-PBEsol) data for SrTl2W after structural relaxation, as listed in the Alexandria database.

Computed properties:
E_form ... 0.56 eV/atom
Density ... 12.1 g/cm³
Total DFT energy (no corrections) ... -18.66 eV for the cell shown
Energy relative to the lowest polymorph listed for this composition ... 0 meV/atom

Lattice parameters (Å, degrees): 3.171 4.045 7.249 90.00 90.00 90.00
Atoms (fractional coordinates):
Sr: 0.500 0.500 0.500
Tl: 0.000 0.000 0.211
Tl: 0.000 0.000 0.789
W: 0.500 0.500 0.000

***

# 3
First-principles (GGA-PBEsol) data for NaMgF3 after structural relaxation, as listed in the Alexandria database.

Computed properties:
Density ... 3.1 g/cm³
Total DFT energy (no corrections) ... -100.61 eV for the cell shown
Formation energy without anion corrections ... -16.253 eV/f.u.

Lattice parameters (Å, degrees): 5.358 5.503 7.659 90.00 90.00 90.00
Atoms (fractional coordinates):
F: 0.797 0.795 0.452
F: 0.203 0.205 0.548
F: 0.297 0.705 0.548
F: 0.908 0.530 0.750
F: 0.297 0.705 0.952
F: 0.092 0.470 0.250
F: 0.203 0.205 0.952
F: 0.703 0.295 0.452
F: 0.592 0.030 0.750
F: 0.703 0.295 0.048
F: 0.797 0.795 0.048
F: 0.408 0.970 0.250
Mg: 0.000 0.500 0.000
Mg: 0.000 0.500 0.500
Mg: 0.500 0.000 0.000
Mg: 0.500 0.000 0.500
Na: 0.988 0.048 0.250
Na: 0.512 0.548 0.250
Na: 0.012 0.952 0.750
Na: 0.488 0.452 0.750

***

# 4
First-principles (GGA-PBEsol) data for TiBe2GaRh after structural relaxation, as listed in the Alexandria database.

Computed properties:
E_form ... 0.59 eV/atom
Density ... 5.4 g/cm³
Total DFT energy (no corrections) ... -24.87 eV for the cell shown

Lattice parameters (Å, degrees): 4.030 4.030 4.521 90.00 90.00 90.00
Atoms (fractional coordinates):
Be: 0.000 0.500 0.000
Be: 0.500 0.000 0.000
Ti: 0.500 0.500 0.500
Ga: 0.000 0.000 0.000
Rh: 0.000 0.000 0.500

***

# 5
First-principles (GGA-PBEsol) data for Sb2PAu after structural relaxation, as listed in the Alexandria database.

Computed properties:
Density ... 8.9 g/cm³
Total DFT energy (no corrections) ... -18.92 eV for the cell shown
Formation energy without anion corrections ... -0.088 eV/f.u.

Lattice parameters (Å, degrees): 3.898 4.067 5.574 90.00 90.00 90.00
Atoms (fractional coordinates):
Au: 0.000 0.376 0.000
Sb: 0.000 0.408 0.500
Sb: 0.500 0.879 0.000
P: 0.500 0.837 0.500

***

# 6
First-principles (GGA-PBEsol) data for MgCoPb2 after structural relaxation, as listed in the Alexandria database.

Computed properties:
E_form ... 0.40 eV/atom
Density ... 9.8 g/cm³
Total DFT energy (no corrections) ... -15.86 eV for the cell shown

Lattice parameters (Å, degrees): 4.180 4.180 5.649 111.71 111.71 90.00
Last column: magnetic moment on the atom in μB.
Atoms (fractional coordinates):
Mg: 0.250 0.750 0.500  -0.01
Pb: 0.000 0.000 0.000  0.00
Pb: 0.750 0.250 0.500  -0.01
Co: 0.500 0.500 0.000  1.26

***

# 7
First-principles (GGA-PBEsol) data for Ba2BO after structural relaxation, as listed in the Alexandria database.

Computed properties:
Density ... 5.7 g/cm³
Total DFT energy (no corrections) ... -17.45 eV for the cell shown
Formation energy without anion corrections ... -0.891 eV/f.u.

Lattice parameters (Å, degrees): 4.999 4.999 4.999 60.00 60.00 60.00
Last column: magnetic moment on the atom in μB.
Atoms (fractional coordinates):
Ba: 0.250 0.250 0.250  0.20
Ba: 0.750 0.750 0.750  0.20
B: 0.000 0.000 0.000  0.78
O: 0.500 0.500 0.500  0.23

***

# 8
First-principles (GGA-PBEsol) data for SiH12C2N6F6 after structural relaxation, as listed in the Alexandria database.

Computed properties:
Density ... 1.7 g/cm³
Total DFT energy (no corrections) ... -159.06 eV for the cell shown

Lattice parameters (Å, degrees): 6.060 7.185 7.202 119.92 110.02 90.00
Atoms (fractional coordinates):
N: 0.280 0.615 0.231
N: 0.720 0.385 0.769
N: 0.270 0.935 0.548
N: 0.270 0.613 0.548
N: 0.730 0.065 0.452
N: 0.730 0.387 0.452
H: 0.250 0.014 0.459
H: 0.746 0.553 0.860
H: 0.746 0.308 0.860
H: 0.254 0.447 0.140
H: 0.750 0.554 0.541
H: 0.250 0.013 0.704
H: 0.250 0.691 0.704
H: 0.750 0.309 0.296
H: 0.250 0.446 0.459
H: 0.254 0.692 0.140
H: 0.750 0.986 0.541
H: 0.750 0.987 0.296
Si: 0.000 0.000 0.000
F: 0.169 0.147 0.293
F: 0.180 0.149 0.961
F: 0.820 0.188 0.039
F: 0.820 0.851 0.039
F: 0.831 0.853 0.707
F: 0.180 0.812 0.961
C: 0.271 0.721 0.441
C: 0.729 0.279 0.559

***

# 9
First-principles (GGA-PBEsol) data for NbZnCdF2 after structural relaxation, as listed in the Alexandria database.

Computed properties:
Density ... 5.8 g/cm³
Total DFT energy (no corrections) ... -22.53 eV for the cell shown
Formation energy without anion corrections ... -5.072 eV/f.u.

Lattice parameters (Å, degrees): 4.055 4.055 5.361 90.00 90.00 90.00
Last column: magnetic moment on the atom in μB.
Atoms (fractional coordinates):
Cd: 0.500 0.500 0.500  -0.01
F: 0.500 0.000 0.000  0.00
F: 0.000 0.500 0.000  0.00
Nb: 0.000 0.000 0.000  0.41
Zn: 0.000 0.000 0.500  0.00

***

# 10
First-principles (GGA-PBEsol) data for Ta2CrB2 after structural relaxation, as listed in the Alexandria database.

Computed properties:
E_form ... -0.75 eV/atom
Density ... 13.0 g/cm³
Total DFT energy (no corrections) ... -106.28 eV for the cell shown

Lattice parameters (Å, degrees): 3.216 5.883 5.883 90.00 90.00 90.00
Atoms (fractional coordinates):
Cr: 0.000 0.500 0.500
Cr: 0.000 0.000 0.000
B: 0.000 0.612 0.112
B: 0.000 0.388 0.888
B: 0.000 0.888 0.612
B: 0.000 0.112 0.388
Ta: 0.500 0.181 0.681
Ta: 0.500 0.819 0.319
Ta: 0.500 0.681 0.819
Ta: 0.500 0.319 0.181

***

# 11
First-principles (GGA-PBEsol) data for Cr3SnS after structural relaxation, as listed in the Alexandria database.

Computed properties:
Density ... 4.1 g/cm³
Total DFT energy (no corrections) ... -31.82 eV for the cell shown
Formation energy without anion corrections ... 7.548 eV/f.u.

Lattice parameters (Å, degrees): 4.992 4.992 4.992 90.00 90.00 90.00
Last column: magnetic moment on the atom in μB.
Atoms (fractional coordinates):
S: 0.500 0.500 0.500  -0.24
Sn: 0.000 0.000 0.000  -0.23
Cr: 0.000 0.000 0.500  3.76
Cr: 0.500 0.000 0.000  3.76
Cr: 0.000 0.500 0.000  3.76

***

# 12
First-principles (GGA-PBEsol) data for KMg3Re after structural relaxation, as listed in the Alexandria database.

Computed properties:
E_form ... 0.80 eV/atom
Density ... 3.5 g/cm³
Total DFT energy (no corrections) ... -15.64 eV for the cell shown

Lattice parameters (Å, degrees): 5.203 5.203 5.203 90.00 90.00 90.00
Last column: magnetic moment on the atom in μB.
Atoms (fractional coordinates):
Mg: 0.500 0.000 0.000  0.00
Mg: 0.000 0.500 0.000  0.00
Mg: 0.000 0.000 0.500  0.00
Re: 0.000 0.000 0.000  0.64
K: 0.500 0.500 0.500  0.00

***

# 13
First-principles (GGA-PBEsol) data for ScTiRu2 after structural relaxation, as listed in the Alexandria database.

Computed properties:
E_form ... -0.61 eV/atom
Density ... 8.2 g/cm³
Total DFT energy (no corrections) ... -37.73 eV for the cell shown

Lattice parameters (Å, degrees): 4.382 4.382 4.382 60.00 60.00 60.00
Atoms (fractional coordinates):
Ru: 0.250 0.250 0.250
Ru: 0.750 0.750 0.750
Sc: 0.500 0.500 0.500
Ti: 0.000 0.000 0.000

***

# 14
First-principles (GGA-PBEsol) data for BaHf2HRh after structural relaxation, as listed in the Alexandria database.

Computed properties:
Density ... 7.2 g/cm³
Total DFT energy (no corrections) ... -21.56 eV for the cell shown

Lattice parameters (Å, degrees): 4.851 5.344 5.344 90.00 90.00 90.00
Atoms (fractional coordinates):
Hf: 0.000 0.000 0.500
Hf: 0.000 0.500 0.000
Rh: 0.500 0.000 0.000
Ba: 0.000 0.000 0.000
H: 0.500 0.500 0.500

***

# 15
First-principles (GGA-PBEsol) data for LiYB2 after structural relaxation, as listed in the Alexandria database.

Computed properties:
E_form ... 0.21 eV/atom
Density ... 3.9 g/cm³
Total DFT energy (no corrections) ... -43.93 eV for the cell shown

Lattice parameters (Å, degrees): 3.699 3.699 7.711 103.88 103.88 90.00
Atoms (fractional coordinates):
Li: 0.750 0.250 0.500
Li: 0.500 0.500 0.000
Y: 0.000 0.000 0.000
Y: 0.250 0.750 0.500
B: 0.125 0.375 0.750
B: 0.625 0.875 0.250
B: 0.625 0.375 0.250
B: 0.625 0.375 0.750

***

# 16
First-principles (GGA-PBEsol) data for Tl4V5CdClO15 after structural relaxation, as listed in the Alexandria database.

Computed properties:
Density ... 5.4 g/cm³
Total DFT energy (no corrections) ... -189.96 eV for the cell shown
Formation energy without anion corrections ... -49.321 eV/f.u.

Lattice parameters (Å, degrees): 5.448 9.112 9.112 90.00 90.00 90.00
Atoms (fractional coordinates):
O: 0.572 0.788 0.116
O: 0.572 0.116 0.212
O: 0.146 0.631 0.142
O: 0.572 0.884 0.788
O: 0.551 0.500 0.000
O: 0.173 0.500 0.500
O: 0.146 0.142 0.369
O: 0.556 0.310 0.447
O: 0.556 0.447 0.690
O: 0.556 0.690 0.553
O: 0.146 0.369 0.858
O: 0.551 0.000 0.500
O: 0.572 0.212 0.884
O: 0.146 0.858 0.631
O: 0.556 0.553 0.310
V: 0.465 0.500 0.500
V: 0.447 0.379 0.857
V: 0.447 0.143 0.379
V: 0.447 0.621 0.143
V: 0.447 0.857 0.621
Tl: 0.924 0.312 0.158
Tl: 0.924 0.688 0.842
Tl: 0.924 0.158 0.688
Tl: 0.924 0.842 0.312
Cl: 0.035 0.000 0.000
Cd: 0.503 0.000 0.000

***

# 17
First-principles (GGA-PBEsol) data for VFe3Cu2P6O24 after structural relaxation, as listed in the Alexandria database.

Computed properties:
Density ... 3.7 g/cm³
Total DFT energy (no corrections) ... -269.06 eV for the cell shown
Formation energy without anion corrections ... -63.137 eV/f.u.

Lattice parameters (Å, degrees): 8.310 8.310 8.310 60.11 60.11 60.11
Last column: magnetic moment on the atom in μB.
Atoms (fractional coordinates):
O: 0.702 0.489 0.866  0.02
O: 0.544 0.765 0.424  0.00
O: 0.184 0.376 0.005  0.03
O: 0.298 0.511 0.132  1.26
O: 0.745 0.933 0.086  0.00
O: 0.132 0.298 0.511  1.30
O: 0.571 0.458 0.233  0.04
O: 0.511 0.132 0.298  -0.48
O: 0.458 0.233 0.571  0.01
O: 0.866 0.702 0.489  0.03
O: 0.933 0.086 0.745  1.26
O: 0.765 0.424 0.544  0.41
O: 0.909 0.261 0.070  0.00
O: 0.001 0.812 0.625  0.03
O: 0.261 0.070 0.909  0.03
O: 0.489 0.866 0.702  0.04
O: 0.625 0.001 0.812  0.00
O: 0.070 0.909 0.261  0.04
O: 0.376 0.005 0.184  0.04
O: 0.424 0.544 0.765  0.00
O: 0.005 0.184 0.376  0.32
O: 0.812 0.625 0.001  0.00
O: 0.233 0.571 0.458  0.03
O: 0.086 0.745 0.933  0.04
Fe: 0.360 0.360 0.360  0.02
Fe: 0.638 0.638 0.638  0.03
Fe: 0.860 0.860 0.860  0.04
P: 0.250 0.542 0.962  0.03
P: 0.467 0.034 0.745  0.03
P: 0.034 0.745 0.467  0.02
P: 0.745 0.467 0.034  0.01
P: 0.962 0.250 0.542  0.01
P: 0.542 0.962 0.250  0.03
V: 0.140 0.140 0.140  0.05
Cu: 0.499 0.499 0.499  0.05
Cu: 0.001 0.001 0.001  0.05

***

# 18
First-principles (GGA-PBEsol) data for ZnCu2SiS4 after structural relaxation, as listed in the Alexandria database.

Computed properties:
Density ... 4.1 g/cm³
Total DFT energy (no corrections) ... -76.40 eV for the cell shown
Formation energy without anion corrections ... -4.666 eV/f.u.

Lattice parameters (Å, degrees): 6.073 6.351 7.268 90.00 90.00 90.00
Atoms (fractional coordinates):
S: 0.535 0.163 0.761
S: 0.535 0.163 0.239
S: 0.035 0.837 0.739
S: 0.539 0.648 0.000
S: 0.039 0.352 0.500
S: 0.035 0.837 0.261
S: 0.509 0.682 0.500
S: 0.009 0.318 0.000
Zn: 0.656 0.348 0.500
Zn: 0.156 0.652 0.000
Cu: 0.666 0.827 0.753
Cu: 0.166 0.173 0.747
Cu: 0.666 0.827 0.247
Cu: 0.166 0.173 0.253
Si: 0.655 0.329 0.000
Si: 0.155 0.671 0.500

***

# 19
First-principles (GGA-PBEsol) data for LiCd3Si after structural relaxation, as listed in the Alexandria database.

Computed properties:
Density ... 4.7 g/cm³
Total DFT energy (no corrections) ... -9.48 eV for the cell shown
Formation energy without anion corrections ... 1.820 eV/f.u.

Lattice parameters (Å, degrees): 5.083 5.083 5.083 90.00 90.00 90.00
Atoms (fractional coordinates):
Si: 0.000 0.000 0.000
Cd: 0.000 0.500 0.000
Cd: 0.500 0.000 0.000
Cd: 0.000 0.000 0.500
Li: 0.500 0.500 0.500

***

# 20
First-principles (GGA-PBEsol) data for Li2ScSn2 after structural relaxation, as listed in the Alexandria database.

Computed properties:
E_form ... -0.42 eV/atom
Density ... 4.8 g/cm³
Total DFT energy (no corrections) ... -21.15 eV for the cell shown
Energy relative to the lowest polymorph listed for this composition ... 0 meV/atom

Lattice parameters (Å, degrees): 4.017 4.017 6.950 106.80 106.80 90.00
Atoms (fractional coordinates):
Li: 0.750 0.250 0.500
Li: 0.250 0.750 0.500
Sn: 0.393 0.393 0.786
Sn: 0.607 0.607 0.214
Sc: 0.000 0.000 0.000

***

# 21
First-principles (GGA-PBEsol) data for CaZnTc2 after structural relaxation, as listed in the Alexandria database.

Computed properties:
E_form ... 0.09 eV/atom
Density ... 7.3 g/cm³
Total DFT energy (no corrections) ... -25.87 eV for the cell shown

Lattice parameters (Å, degrees): 3.077 3.077 7.253 90.00 90.00 90.00
Atoms (fractional coordinates):
Tc: 0.500 0.500 0.236
Tc: 0.000 0.000 0.056
Zn: 0.000 0.000 0.451
Ca: 0.500 0.500 0.756

***

# 22
First-principles (GGA-PBEsol) data for SrY2BeSe after structural relaxation, as listed in the Alexandria database.

Computed properties:
Density ... 4.3 g/cm³
Total DFT energy (no corrections) ... -23.70 eV for the cell shown
Formation energy without anion corrections ... -0.364 eV/f.u.

Lattice parameters (Å, degrees): 4.532 5.489 5.489 90.00 90.00 90.00
Atoms (fractional coordinates):
Y: 0.000 0.000 0.500
Y: 0.000 0.500 0.000
Sr: 0.500 0.500 0.500
Se: 0.000 0.000 0.000
Be: 0.500 0.000 0.000

***

# 23
First-principles (GGA-PBEsol) data for NiPHCl2 after structural relaxation, as listed in the Alexandria database.

Computed properties:
Density ... 3.9 g/cm³
Total DFT energy (no corrections) ... -16.11 eV for the cell shown
Energy relative to the lowest polymorph listed for this composition ... 80 meV/atom

Lattice parameters (Å, degrees): 3.195 4.612 4.612 90.00 90.00 90.00
Last column: magnetic moment on the atom in μB.
Atoms (fractional coordinates):
Ni: 0.500 0.500 0.500  0.78
Cl: 0.000 0.000 0.500  0.03
Cl: 0.000 0.500 0.000  0.03
H: 0.000 0.000 0.000  0.00
P: 0.500 0.000 0.000  0.01